1.
DFT (PBE) results for a relaxed structure of Pa2Ga3Co4.

Cell: 5.557 15.806 6.281 Å, 90.00 90.00 90.00°
Space group Cmce (No. 64)
Inequivalent atoms, fractional coordinates:
1 Pa 0.000 0.106 0.082 [8 per cell]
2 Ga 0.000 0.000 0.500 [4 per cell]
3 Ga 0.250 0.234 0.750 [8 per cell]
4 Co 0.000 0.160 0.458 [8 per cell]
5 Co 0.250 0.079 0.750 [8 per cell]

=====

2.
DFT (PBE) results for a relaxed structure of GaCoPb2.

Cell: 7.084 7.084 7.084 Å, 90.00 90.00 90.00°
Space group F-43m (No. 216)
Inequivalent atoms, fractional coordinates:
1 Ga 0.000 0.000 0.000 [4 per cell]
2 Co 0.250 0.250 0.250 [4 per cell]
3 Pb 0.000 0.000 0.500 [4 per cell]
4 Pb 0.250 0.250 0.750 [4 per cell]

=====

Number 1: magnetization 0.0 μB per formula unit, total energy -243.4 eV/cell. Number 2: magnetization 1.4 μB per formula unit, total energy -60.9 eV/cell.